[1]
Sm3BiSb2: relaxed, PBE.

The structure belongs to space group Immm (No. 71); the cell edges are 4.500, 6.359 and 13.506 Å and the angles 90.00°, 90.00° and 90.00°. The inequivalent atoms are Sm at (0.000, 0.000, 0.000), Sm at (0.000, 0.000, 0.330), Bi at (0.000, 0.500, 0.000) and Sb at (0.000, 0.500, 0.334).

The value obtained for the density of states at the Fermi level is 2.54 states/eV per cell. For the uncorrected formation energy, the calculation gives -1.09 eV/atom.



[2]
K2AsAuF6: relaxed, PBE.

The structure belongs to space group Fm-3m (No. 225); the cell edges are 9.021, 9.021 and 9.021 Å and the angles 90.00°, 90.00° and 90.00°. The inequivalent atoms are K at (0.250, 0.250, 0.250), As at (0.000, 0.000, 0.000), Au at (0.000, 0.000, 0.500) and F at (0.000, 0.000, 0.227).

For the uncorrected formation energy, the calculation gives -1.99 eV/atom.



[3]
LuPuGaSn: relaxed, PBE.

The structure belongs to space group F-43m (No. 216); the cell edges are 7.307, 7.307 and 7.307 Å and the angles 90.00°, 90.00° and 90.00°. The inequivalent atoms are Lu at (0.000, 0.000, 0.000), Pu at (0.000, 0.000, 0.500), Ga at (0.250, 0.250, 0.250) and Sn at (0.250, 0.250, 0.750).

The value obtained for the density of states at the Fermi level is 38.54 states/eV per cell. The value obtained for the formation enthalpy at 0 K is -1.5 eV per formula unit.



[4]
AlPt4Rh4: relaxed, PBE.

The structure belongs to space group P1 (No. 1); the cell edges are 4.703, 4.737 and 6.870 Å and the angles 75.65°, 77.12° and 70.31°. The inequivalent atoms are Al at (0.000, 0.000, 0.000), Pt at (0.039, 0.471, 0.746), Pt at (0.442, 0.993, 0.171), Pt at (0.656, 0.114, 0.744), Pt at (0.935, 0.475, 0.176), Rh at (0.304, 0.908, 0.591), Rh at (0.392, 0.435, 0.385), Rh at (0.473, 0.566, 0.958) and Rh at (0.875, 0.899, 0.404).

The value obtained for the density of states at the Fermi level is 12.27 states/eV per cell. The value obtained for the formation enthalpy at 0 K is -1.2 eV per formula unit.



[5]
K2CdBiH: relaxed, PBE.

The structure belongs to space group P2_1/m (No. 11); the cell edges are 7.366, 4.847 and 9.880 Å and the angles 90.00°, 109.12° and 90.00°. The inequivalent atoms are K at (0.196, 0.250, 0.403), K at (0.221, 0.250, 0.956), Cd at (0.435, 0.750, 0.238), Bi at (0.336, 0.750, 0.706) and H at (0.168, 0.750, 0.161).

The calculation puts the energy above the most stable polymorph in this dataset at 0.00 kJ/mol of atoms.



[6]
Rb2InSiI6: relaxed, PBE.

The structure belongs to space group I4/mmm (No. 139); the cell edges are 8.477, 8.477 and 11.954 Å and the angles 90.00°, 90.00° and 90.00°. The inequivalent atoms are Rb at (0.000, 0.500, 0.250), In at (0.000, 0.000, 0.000), Si at (0.000, 0.000, 0.500), I at (0.000, 0.000, 0.260) and I at (0.240, 0.240, 0.500).

The value obtained for the density of states at the Fermi level is 7.13 states/eV per cell. For the uncorrected formation energy, the calculation gives -0.74 eV/atom.



[7]
In2Sn2S5: relaxed, PBE.

The structure belongs to space group C2/m (No. 12); the cell edges are 14.350, 4.047 and 10.332 Å and the angles 90.00°, 118.72° and 90.00°. The inequivalent atoms are In at (0.219, 0.000, 0.113), Sn at (0.089, 0.500, 0.409), S at (0.000, 0.000, 0.500), S at (0.127, 0.500, 0.946) and S at (0.220, 0.000, 0.346).

The calculation puts the energy above the most stable polymorph in this dataset at 2.40 kJ/mol of atoms. For the uncorrected formation energy, the calculation gives -0.42 eV/atom.



[8]
Ba12Pd6Au: relaxed, PBE.

The structure belongs to space group Im-3 (No. 204); the cell edges are 11.509, 11.509 and 11.509 Å and the angles 90.00°, 90.00° and 90.00°. The inequivalent atoms are Ba at (0.000, 0.182, 0.310), Pd at (0.000, 0.380, 0.500) and Au at (0.000, 0.000, 0.000).

The value obtained for the density of states at the Fermi level is 28.53 states/eV per cell. The value obtained for the formation enthalpy at 0 K is -7.7 eV per formula unit.



[9]
Ce8OsRu6: relaxed, PBE.

The structure belongs to space group R-3 (No. 148, hexagonal axes); the cell edges are 10.2264, 10.2264 and 11.9158 Å and the angles 90.00°, 90.00° and 120.00°. The inequivalent atoms are Ce at (0.0000, 0.0000, 0.2108), Ce at (0.0042, 0.6533, 0.7196), Os at (0.0000, 0.0000, 0.0000) and Ru at (0.0110, 0.8403, 0.5975).

The value obtained for the density of states at the Fermi level is 60.65 states/eV per cell. The value obtained for the formation enthalpy at 0 K is -3.2 eV per formula unit.



[10]
NaLaCu2O5: relaxed, PBE.

The structure belongs to space group P4/mmm (No. 123); the cell edges are 3.826, 3.826 and 7.127 Å and the angles 90.00°, 90.00° and 90.00°. The inequivalent atoms are Na at (0.000, 0.000, 0.000), La at (0.000, 0.000, 0.500), Cu at (0.500, 0.500, 0.223), O at (0.000, 0.500, 0.236) and O at (0.500, 0.500, 0.500).

The value obtained for the density of states at the Fermi level is 4.68 states/eV per cell. For the uncorrected formation energy, the calculation gives -1.43 eV/atom.



[11]
CeGdCdCu: relaxed, PBE.

The structure belongs to space group F-43m (No. 216); the cell edges are 7.375, 7.375 and 7.375 Å and the angles 90.00°, 90.00° and 90.00°. The inequivalent atoms are Ce at (0.000, 0.000, 0.000), Gd at (0.000, 0.000, 0.500), Cd at (0.250, 0.250, 0.250) and Cu at (0.250, 0.250, 0.750).

The value obtained for the density of states at the Fermi level is 32.50 states/eV per cell. The value obtained for the formation enthalpy at 0 K is -0.4 eV per formula unit.



[12]
Sr2SF: relaxed, PBE.

The structure belongs to space group Fm-3m (No. 225); the cell edges are 7.050, 7.050 and 7.050 Å and the angles 90.00°, 90.00° and 90.00°. The inequivalent atoms are Sr at (0.250, 0.250, 0.250), S at (0.000, 0.000, 0.000) and F at (0.000, 0.000, 0.500).

The value obtained for the density of states at the Fermi level is 11.44 states/eV per cell. The calculation puts the energy above the most stable polymorph in this dataset at 41.84 kJ/mol of atoms. For the uncorrected formation energy, the calculation gives -1.94 eV/atom.



[13]
NaAg2OsBr8: relaxed, PBE.

The structure belongs to space group P2/m (No. 10); the cell edges are 6.905, 8.235 and 7.050 Å and the angles 90.00°, 113.34° and 90.00°. The inequivalent atoms are Na at (0.000, 0.000, 0.000), Ag at (0.000, 0.231, 0.500), Os at (0.000, 0.500, 0.000), Br at (0.198, 0.500, 0.770), Br at (0.243, 0.289, 0.225) and Br at (0.250, 0.000, 0.750).

The value obtained for the density of states at the Fermi level is 7.32 states/eV per cell. For the uncorrected formation energy, the calculation gives -0.42 eV/atom.



[14]
Sb4IrRh: relaxed, PBE.

The structure belongs to space group F-43m (No. 216); the cell edges are 8.327, 8.327 and 8.327 Å and the angles 90.00°, 90.00° and 90.00°. The inequivalent atoms are Sb at (0.125, 0.125, 0.125), Ir at (0.250, 0.250, 0.750) and Rh at (0.000, 0.000, 0.500).

The value obtained for the density of states at the Fermi level is 15.89 states/eV per cell. The calculation puts the energy above the most stable polymorph in this dataset at 132.71 kJ/mol of atoms. For the uncorrected formation energy, the calculation gives 1.11 eV/atom.



[15]
Li2CdP2: relaxed, PBE.

The structure belongs to space group P4/mbm (No. 127); the cell edges are 6.567, 6.567 and 4.118 Å and the angles 90.00°, 90.00° and 90.00°. The inequivalent atoms are Li at (0.169, 0.331, 0.000), Cd at (0.000, 0.000, 0.500) and P at (0.119, 0.619, 0.500).

The value obtained for the density of states at the Fermi level is 1.21 states/eV per cell. The calculation puts the energy above the most stable polymorph in this dataset at 0.00 kJ/mol of atoms. The value obtained for the formation enthalpy at 0 K is -1.6 eV per formula unit.



[16]
Ac4AsP2N: relaxed, PBE.

The structure belongs to space group Cmcm (No. 63); the cell edges are 4.395, 14.628 and 15.274 Å and the angles 90.00°, 90.00° and 90.00°. The inequivalent atoms are Ac at (0.000, 0.000, 0.000), Ac at (0.000, 0.262, 0.130), Ac at (0.000, 0.436, 0.750), As at (0.000, 0.114, 0.750), P at (0.000, 0.368, 0.552) and N at (0.000, 0.155, 0.250).

The value obtained for the density of states at the Fermi level is 0.60 states/eV per cell. For the uncorrected formation energy, the calculation gives -1.29 eV/atom.



[17]
KAg2Ir: relaxed, PBE.

The structure belongs to space group Pmm2 (No. 25); the cell edges are 2.716, 4.441 and 7.483 Å and the angles 90.00°, 90.00° and 90.00°. The inequivalent atoms are K at (0.000, 0.000, 0.000), Ag at (0.000, 0.000, 0.547), Ag at (0.500, 0.500, 0.332) and Ir at (0.500, 0.500, 0.700).

The value obtained for the density of states at the Fermi level is 3.18 states/eV per cell. The calculation puts the energy above the most stable polymorph in this dataset at 6.03 kJ/mol of atoms. The value obtained for the formation enthalpy at 0 K is 2.1 eV per formula unit.



[18]
Na6SrCa2: relaxed, PBE.

The structure belongs to space group C2/m (No. 12); the cell edges are 9.864, 10.361 and 7.153 Å and the angles 90.00°, 94.15° and 90.00°. The inequivalent atoms are Na at (0.000, 0.169, 0.000), Na at (0.166, 0.335, 0.670), Sr at (0.000, 0.000, 0.500) and Ca at (0.163, 0.500, 0.164).

The value obtained for the density of states at the Fermi level is 10.90 states/eV per cell. The value obtained for the formation enthalpy at 0 K is 0.6 eV per formula unit.



[19]
NaMgH: relaxed, PBE.

The structure belongs to space group I4_1/a (No. 88, origin choice 2); the cell edges are 10.357, 10.357 and 8.559 Å and the angles 90.00°, 90.00° and 90.00°. The inequivalent atoms are Na at (0.117, 0.100, 0.226), Mg at (0.110, 0.376, 0.477) and H at (0.000, 0.049, 0.634).

The value obtained for the density of states at the Fermi level is 8.86 states/eV per cell. The total energy comes out at -96.9 eV per cell.



[20]
YTiPIr2: relaxed, PBE.

The structure belongs to space group P4/mmm (No. 123); the cell edges are 4.496, 4.496 and 5.558 Å and the angles 90.00°, 90.00° and 90.00°. The inequivalent atoms are Y at (0.000, 0.000, 0.000), Ti at (0.000, 0.000, 0.500), P at (0.500, 0.500, 0.000) and Ir at (0.000, 0.500, 0.500).

The value obtained for the density of states at the Fermi level is 3.22 states/eV per cell. The value obtained for the formation enthalpy at 0 K is 3.9 eV per formula unit.



[21]
Y2Pu3Os2: relaxed, PBE.

The structure belongs to space group C2/m (No. 12); the cell edges are 11.106, 4.112 and 8.086 Å and the angles 90.00°, 113.68° and 90.00°. The inequivalent atoms are Y at (0.155, 0.000, 0.309), Pu at (0.000, 0.500, 0.500), Pu at (0.120, 0.500, 0.939) and Os at (0.157, 0.000, 0.721).

The value obtained for the density of states at the Fermi level is 34.44 states/eV per cell. The value obtained for the formation enthalpy at 0 K is -0.6 eV per formula unit.



[22]
CaFeCl2: relaxed, PBE.

The structure belongs to space group P4mm (No. 99); the cell edges are 3.362, 3.362 and 8.550 Å and the angles 90.00°, 90.00° and 90.00°. The inequivalent atoms are Ca at (0.000, 0.000, 0.000), Fe at (0.500, 0.500, 0.724), Cl at (0.000, 0.000, 0.601) and Cl at (0.500, 0.500, 0.173).

The value obtained for the density of states at the Fermi level is 3.04 states/eV per cell. The calculation puts the energy above the most stable polymorph in this dataset at 4.07 kJ/mol of atoms. For the uncorrected formation energy, the calculation gives -0.78 eV/atom.



[23]
PrSmPd: relaxed, PBE.

The structure belongs to space group F-43m (No. 216); the cell edges are 7.123, 7.123 and 7.123 Å and the angles 90.00°, 90.00° and 90.00°. The inequivalent atoms are Pr at (0.000, 0.000, 0.000), Sm at (0.000, 0.000, 0.500) and Pd at (0.250, 0.250, 0.750).

The value obtained for the density of states at the Fermi level is 17.56 states/eV per cell. The calculation puts the energy above the most stable polymorph in this dataset at 15.42 kJ/mol of atoms. The value obtained for the formation enthalpy at 0 K is -1.1 eV per formula unit.